#P
Compound: ErHg2Ge
Source: the Alexandria database
Functional: PBE
Structure: optimized geometry

space group = P4/mmm, No. 123
DOS at the Fermi energy = 0.2612 states/eV per atom

a b c (Å): 4.280 4.280 4.906
angles (deg): 90.00 90.00 90.00
Atoms (fractional coordinates):
Er  0.000  0.000  0.000
Hg  0.000  0.500  0.500
Hg  0.500  0.000  0.500
Ge  0.500  0.500  0.000

#Q
Compound: ErHg2Ge
Source: the Alexandria database
Functional: PBE
Structure: optimized geometry

space group = R-3m, No. 166
DOS at the Fermi energy = 0.6222 states/eV per atom

a b c (Å): 11.000 11.000 11.000
angles (deg): 17.41 17.41 17.41
Atoms (fractional coordinates):
Er  0.000  0.000  0.000
Hg  0.093  0.093  0.093
Hg  0.907  0.907  0.907
Ge  0.500  0.500  0.500

Energies in meV/atom, measured from the most stable structure: #P 0; #Q 601.